[1]
# CaPmPb2 | Alexandria via LeMat-Bulk | GGA-PBE | optimized geometry
data_CaPmPb2
_space_group_name_H-M_alt 'P 1'
_space_group_IT_number 1
_cell_length_a 3.595
_cell_length_b 3.595
_cell_length_c 9.232
_cell_angle_alpha 90.00
_cell_angle_beta 90.00
_cell_angle_gamma 90.00
loop_
_space_group_symop_operation_xyz
'x,y,z'
loop_
_atom_site_label
_atom_site_fract_x
_atom_site_fract_y
_atom_site_fract_z
Ca1 0.000 0.000 0.000
Pm1 0.000 0.000 0.500
Pb1 0.500 0.500 0.249
Pb2 0.500 0.500 0.751
# crystal system	tetragonal
# final energy	-4.06	eV/atom



[2]
# CaPm2Pb | Alexandria via LeMat-Bulk | GGA-PBE | optimized geometry
data_CaPm2Pb
_space_group_name_H-M_alt 'P 1'
_space_group_IT_number 1
_cell_length_a 12.558
_cell_length_b 12.558
_cell_length_c 12.558
_cell_angle_alpha 16.46
_cell_angle_beta 16.46
_cell_angle_gamma 16.46
loop_
_space_group_symop_operation_xyz
'x,y,z'
loop_
_atom_site_label
_atom_site_fract_x
_atom_site_fract_y
_atom_site_fract_z
Ca1 0.000 0.000 0.000
Pm1 0.094 0.094 0.094
Pm2 0.906 0.906 0.906
Pb1 0.500 0.500 0.500
# energy above the lowest structure with this stoichiometry	307	meV per atom
# crystal system	trigonal



[3]
# Ca4PmPb15 | Alexandria via LeMat-Bulk | GGA-PBE | optimized geometry
data_Ca4PmPb15
_space_group_name_H-M_alt 'P 1'
_space_group_IT_number 1
_cell_length_a 4.921
_cell_length_b 4.921
_cell_length_c 24.821
_cell_angle_alpha 90.00
_cell_angle_beta 90.00
_cell_angle_gamma 90.00
loop_
_space_group_symop_operation_xyz
'x,y,z'
loop_
_atom_site_label
_atom_site_fract_x
_atom_site_fract_y
_atom_site_fract_z
Ca1 0.000 0.000 0.100
Ca2 0.000 0.000 0.301
Ca3 0.000 0.000 0.699
Ca4 0.000 0.000 0.900
Pm1 0.000 0.000 0.500
Pb1 0.000 0.500 0.000
Pb2 0.000 0.500 0.200
Pb3 0.000 0.500 0.400
Pb4 0.000 0.500 0.600
Pb5 0.000 0.500 0.800
Pb6 0.500 0.000 0.000
Pb7 0.500 0.000 0.200
Pb8 0.500 0.000 0.400
Pb9 0.500 0.000 0.600
Pb10 0.500 0.000 0.800
Pb11 0.500 0.500 0.100
Pb12 0.500 0.500 0.300
Pb13 0.500 0.500 0.500
Pb14 0.500 0.500 0.700
Pb15 0.500 0.500 0.900
# crystal system	tetragonal
# final energy	-3.75	eV/atom



[4]
# CaPm3Pb3 | Alexandria via LeMat-Bulk | GGA-PBE | optimized geometry
data_CaPm3Pb3
_space_group_name_H-M_alt 'P 1'
_space_group_IT_number 1
_cell_length_a 8.441
_cell_length_b 8.441
_cell_length_c 8.441
_cell_angle_alpha 68.90
_cell_angle_beta 68.90
_cell_angle_gamma 68.90
loop_
_space_group_symop_operation_xyz
'x,y,z'
loop_
_atom_site_label
_atom_site_fract_x
_atom_site_fract_y
_atom_site_fract_z
Ca1 0.169 0.169 0.169
Ca2 0.831 0.831 0.831
Pm1 0.119 0.406 0.710
Pm2 0.290 0.881 0.594
Pm3 0.406 0.710 0.119
Pm4 0.594 0.290 0.881
Pm5 0.710 0.119 0.406
Pm6 0.881 0.594 0.290
Pb1 0.058 0.780 0.426
Pb2 0.220 0.574 0.942
Pb3 0.426 0.058 0.780
Pb4 0.574 0.942 0.220
Pb5 0.780 0.426 0.058
Pb6 0.942 0.220 0.574
# crystal system	trigonal
# final energy	-4.32	eV/atom



[5]
# Ca2PmPb2 | Alexandria via LeMat-Bulk | GGA-PBE | optimized geometry
data_Ca2PmPb2
_space_group_name_H-M_alt 'P 1'
_space_group_IT_number 1
_cell_length_a 5.270
_cell_length_b 5.270
_cell_length_c 7.230
_cell_angle_alpha 90.00
_cell_angle_beta 90.00
_cell_angle_gamma 120.00
loop_
_space_group_symop_operation_xyz
'x,y,z'
loop_
_atom_site_label
_atom_site_fract_x
_atom_site_fract_y
_atom_site_fract_z
Ca1 0.333 0.667 0.161
Ca2 0.667 0.333 0.839
Pm1 0.000 0.000 0.500
Pb1 0.333 0.667 0.696
Pb2 0.667 0.333 0.304
# crystal system	trigonal
# final energy	-3.66	eV/atom



[6]
# Ca5PmPb6 | Alexandria via LeMat-Bulk | GGA-PBE | optimized geometry
data_Ca5PmPb6
_space_group_name_H-M_alt 'P 1'
_space_group_IT_number 1
_cell_length_a 5.814
_cell_length_b 7.323
_cell_length_c 9.301
_cell_angle_alpha 113.13
_cell_angle_beta 95.88
_cell_angle_gamma 90.06
loop_
_space_group_symop_operation_xyz
'x,y,z'
loop_
_atom_site_label
_atom_site_fract_x
_atom_site_fract_y
_atom_site_fract_z
Ca1 0.000 0.000 0.000
Ca2 0.328 0.834 0.667
Ca3 0.330 0.329 0.658
Ca4 0.670 0.671 0.342
Ca5 0.672 0.166 0.333
Pm1 0.000 0.500 0.000
Pb1 0.171 0.416 0.329
Pb2 0.171 0.913 0.329
Pb3 0.500 0.254 0.000
Pb4 0.500 0.746 0.000
Pb5 0.829 0.087 0.671
Pb6 0.829 0.584 0.671
# crystal system	triclinic
# final energy	-3.60	eV/atom



[7]
# CaPm2Pb | Alexandria via LeMat-Bulk | GGA-PBE | optimized geometry
data_CaPm2Pb
_space_group_name_H-M_alt 'P 1'
_space_group_IT_number 1
_cell_length_a 5.625
_cell_length_b 5.625
_cell_length_c 5.625
_cell_angle_alpha 60.00
_cell_angle_beta 60.00
_cell_angle_gamma 60.00
loop_
_space_group_symop_operation_xyz
'x,y,z'
loop_
_atom_site_label
_atom_site_fract_x
_atom_site_fract_y
_atom_site_fract_z
Ca1 0.000 0.000 0.000
Pm1 0.250 0.250 0.250
Pm2 0.750 0.750 0.750
Pb1 0.500 0.500 0.500
# energy above the lowest structure with this stoichiometry	121	meV per atom
# crystal system	cubic



[8]
# CaPm2Pb | Alexandria via LeMat-Bulk | GGA-PBE | optimized geometry
data_CaPm2Pb
_space_group_name_H-M_alt 'P 1'
_space_group_IT_number 1
_cell_length_a 4.308
_cell_length_b 4.308
_cell_length_c 6.946
_cell_angle_alpha 90.00
_cell_angle_beta 90.00
_cell_angle_gamma 90.00
loop_
_space_group_symop_operation_xyz
'x,y,z'
loop_
_atom_site_label
_atom_site_fract_x
_atom_site_fract_y
_atom_site_fract_z
Ca1 0.000 0.000 0.000
Pm1 0.500 0.500 0.275
Pm2 0.500 0.500 0.725
Pb1 0.000 0.000 0.500
# energy above the lowest structure with this stoichiometry	75	meV per atom
# crystal system	tetragonal



[9]
# CaPm4Pb5 | Alexandria via LeMat-Bulk | GGA-PBE | optimized geometry
data_CaPm4Pb5
_space_group_name_H-M_alt 'P 1'
_space_group_IT_number 1
_cell_length_a 3.584
_cell_length_b 3.584
_cell_length_c 23.113
_cell_angle_alpha 90.00
_cell_angle_beta 90.00
_cell_angle_gamma 90.00
loop_
_space_group_symop_operation_xyz
'x,y,z'
loop_
_atom_site_label
_atom_site_fract_x
_atom_site_fract_y
_atom_site_fract_z
Ca1 0.000 0.000 0.000
Pm1 0.000 0.000 0.200
Pm2 0.000 0.000 0.400
Pm3 0.000 0.000 0.600
Pm4 0.000 0.000 0.800
Pb1 0.500 0.500 0.100
Pb2 0.500 0.500 0.300
Pb3 0.500 0.500 0.500
Pb4 0.500 0.500 0.700
Pb5 0.500 0.500 0.900
# crystal system	tetragonal
# final energy	-4.47	eV/atom



[10]
# CaPm6Pb4 | Alexandria via LeMat-Bulk | GGA-PBE | optimized geometry
data_CaPm6Pb4
_space_group_name_H-M_alt 'P 1'
_space_group_IT_number 1
_cell_length_a 9.921
_cell_length_b 9.921
_cell_length_c 4.363
_cell_angle_alpha 90.00
_cell_angle_beta 90.00
_cell_angle_gamma 120.00
loop_
_space_group_symop_operation_xyz
'x,y,z'
loop_
_atom_site_label
_atom_site_fract_x
_atom_site_fract_y
_atom_site_fract_z
Ca1 0.000 0.000 0.000
Pm1 0.196 0.392 0.500
Pm2 0.196 0.804 0.500
Pm3 0.539 0.079 0.000
Pm4 0.539 0.461 0.000
Pm5 0.608 0.804 0.500
Pm6 0.921 0.461 0.000
Pb1 0.333 0.667 0.000
Pb2 0.335 0.168 0.500
Pb3 0.832 0.168 0.500
Pb4 0.832 0.665 0.500
# crystal system	hexagonal
# final energy	-4.49	eV/atom



[11]
# CaPm2Pb | Alexandria via LeMat-Bulk | GGA-PBE | optimized geometry
data_CaPm2Pb
_space_group_name_H-M_alt 'P 1'
_space_group_IT_number 1
_cell_length_a 5.006
_cell_length_b 5.006
_cell_length_c 4.986
_cell_angle_alpha 90.00
_cell_angle_beta 90.00
_cell_angle_gamma 90.00
loop_
_space_group_symop_operation_xyz
'x,y,z'
loop_
_atom_site_label
_atom_site_fract_x
_atom_site_fract_y
_atom_site_fract_z
Ca1 0.000 0.000 0.000
Pm1 0.000 0.500 0.500
Pm2 0.500 0.000 0.500
Pb1 0.500 0.500 0.000
# energy above the lowest structure with this stoichiometry	0	meV per atom
# crystal system	tetragonal



[12]
# Ca2Pm2Pb7 | Alexandria via LeMat-Bulk | GGA-PBE | optimized geometry
data_Ca2Pm2Pb7
_space_group_name_H-M_alt 'P 1'
_space_group_IT_number 1
_cell_length_a 7.225
_cell_length_b 7.225
_cell_length_c 7.533
_cell_angle_alpha 90.00
_cell_angle_beta 90.00
_cell_angle_gamma 98.63
loop_
_space_group_symop_operation_xyz
'x,y,z'
loop_
_atom_site_label
_atom_site_fract_x
_atom_site_fract_y
_atom_site_fract_z
Ca1 0.186 0.186 0.000
Ca2 0.814 0.814 0.000
Pm1 0.289 0.711 0.500
Pm2 0.711 0.289 0.500
Pb1 0.000 0.000 0.500
Pb2 0.000 0.500 0.214
Pb3 0.000 0.500 0.786
Pb4 0.500 0.000 0.214
Pb5 0.500 0.000 0.786
Pb6 0.500 0.500 0.201
Pb7 0.500 0.500 0.799
# crystal system	orthorhombic
# final energy	-3.67	eV/atom